No. 1
A relaxed Ac2SmSe4 crystal. Source: Alexandria, functional PBE-GGA.

abc: 4.1544 7.4290 8.0946
angles: 68.89 75.13 73.76
Atoms (fractional coordinates):
1 Ac 0.3545 0.5870 0.7039
2 Ac 0.6455 0.4130 0.2961
3 Sm 0.0000 0.0000 0.0000
4 Se 0.0561 0.2584 0.6293
5 Se 0.9439 0.7416 0.3707
6 Se 0.3339 0.2499 0.0823
7 Se 0.6661 0.7501 0.9177

Output
Formation energy from raw total energies, meV per atom: -1906
Crystal system: monoclinic
Energy above the lowest structure with this stoichiometry, eV per formula unit: 0.00
Energy, eV per formula unit: -40.2

=====

No. 2
A relaxed Ac2Sm2Se7 crystal. Source: Alexandria, functional PBE-GGA.

abc: 7.4607 6.3260 7.4607
angles: 89.99 95.48 90.01
Atoms (fractional coordinates):
1 Ac 0.7547 0.5000 0.7547
2 Ac 0.2453 0.5000 0.2453
3 Sm 0.7301 0.0000 0.2699
4 Sm 0.2699 0.0000 0.7301
5 Se 0.9998 0.2552 0.5003
6 Se 0.5003 0.7448 0.9998
7 Se 0.0002 0.7448 0.4997
8 Se 0.4997 0.2552 0.0002
9 Se 0.0000 0.0000 0.0000
10 Se 0.5002 0.7574 0.4998
11 Se 0.4998 0.2426 0.5002

Output
Formation energy from raw total energies, meV per atom: -1572
Crystal system: orthorhombic
Energy, eV per formula unit: -59.3

=====

No. 3
A relaxed AcSm2Se4 crystal. Source: Alexandria, functional PBE-GGA.

abc: 4.2096 7.2128 14.2080
angles: 90.00 90.00 106.97
Atoms (fractional coordinates):
1 Ac 0.6207 0.2415 0.7500
2 Ac 0.3793 0.7585 0.2500
3 Sm 0.1292 0.2584 0.4357
4 Sm 0.8708 0.7416 0.9357
5 Sm 0.1292 0.2584 0.0643
6 Sm 0.8708 0.7416 0.5643
7 Se 0.7719 0.5438 0.1199
8 Se 0.7719 0.5438 0.3801
9 Se 0.2281 0.4562 0.8801
10 Se 0.2281 0.4562 0.6199
11 Se 0.9558 0.9116 0.7500
12 Se 0.0442 0.0884 0.2500
13 Se 0.5000 0.0000 0.0000
14 Se 0.5000 0.0000 0.5000

Output
Formation energy from raw total energies, meV per atom: -1925
Crystal system: orthorhombic
Energy, eV per formula unit: -41.0

=====

No. 4
A relaxed Ac3SmSe4 crystal. Source: Alexandria, functional PBE-GGA.

abc: 6.2309 6.2309 6.2309
angles: 90.00 90.00 90.00
Atoms (fractional coordinates):
1 Ac 0.0000 0.5000 0.5000
2 Ac 0.5000 0.0000 0.5000
3 Ac 0.5000 0.5000 0.0000
4 Sm 0.0000 0.0000 0.0000
5 Se 0.5000 0.0000 0.0000
6 Se 0.0000 0.5000 0.0000
7 Se 0.0000 0.0000 0.5000
8 Se 0.5000 0.5000 0.5000

Output
Formation energy from raw total energies, meV per atom: -1812
Crystal system: cubic
Energy above the lowest structure with this stoichiometry, eV per formula unit: 0.23
Energy, eV per formula unit: -45.5

=====

No. 5
A relaxed AcSmSe2 crystal. Source: Alexandria, functional PBE-GGA.

abc: 4.2084 4.2084 7.9344
angles: 74.62 74.62 60.00
Atoms (fractional coordinates):
1 Ac 0.4954 0.4954 0.5138
2 Sm 0.6717 0.6717 0.9848
3 Se 0.0756 0.0756 0.7733
4 Se 0.2573 0.2573 0.2281

Output
Formation energy from raw total energies, meV per atom: -1795
Crystal system: trigonal
Energy above the lowest structure with this stoichiometry, eV per formula unit: 0.12
Energy, eV per formula unit: -23.0

=====

No. 6
A relaxed AcSm5Se6 crystal. Source: Alexandria, functional PBE-GGA.

abc: 7.3193 7.3193 7.3257
angles: 99.60 99.60 120.21
Atoms (fractional coordinates):
1 Ac 0.0000 0.0000 0.0000
2 Se 0.4304 0.0866 0.2584
3 Se 0.9134 0.5696 0.7416
4 Se 0.2607 0.2607 0.7478
5 Se 0.7393 0.7393 0.2522
6 Se 0.0866 0.4304 0.2584
7 Se 0.5696 0.9134 0.7416
8 Sm 0.8382 0.1618 0.5000
9 Sm 0.6678 0.3322 0.0000
10 Sm 0.5000 0.5000 0.5000
11 Sm 0.3322 0.6678 0.0000
12 Sm 0.1618 0.8382 0.5000

Output
Formation energy from raw total energies, meV per atom: -1815
Crystal system: monoclinic
Energy, eV per formula unit: -70.4

=====

No. 7
A relaxed Ac3SmSe6 crystal. Source: Alexandria, functional PBE-GGA.

abc: 8.9758 8.9758 8.9758
angles: 91.73 91.73 91.73
Atoms (fractional coordinates):
1 Ac 0.4307 0.9223 0.7496
2 Ac 0.9223 0.7496 0.4307
3 Ac 0.2504 0.5693 0.0777
4 Ac 0.7496 0.4307 0.9223
5 Ac 0.0777 0.2504 0.5693
6 Ac 0.5693 0.0777 0.2504
7 Sm 0.0000 0.0000 0.0000
8 Sm 0.5000 0.5000 0.5000
9 Se 0.3074 0.9158 0.0755
10 Se 0.0842 0.9245 0.6926
11 Se 0.5867 0.8099 0.4591
12 Se 0.9245 0.6926 0.0842
13 Se 0.4591 0.5867 0.8099
14 Se 0.1901 0.5409 0.4133
15 Se 0.8099 0.4591 0.5867
16 Se 0.5409 0.4133 0.1901
17 Se 0.0755 0.3074 0.9158
18 Se 0.4133 0.1901 0.5409
19 Se 0.9158 0.0755 0.3074
20 Se 0.6926 0.0842 0.9245

Output
Formation energy from raw total energies, meV per atom: -1974
Crystal system: trigonal
Energy above the lowest structure with this stoichiometry, eV per formula unit: 0.00
Energy, eV per formula unit: -57.7

=====

No. 8
A relaxed AcSmSe2 crystal. Source: Alexandria, functional PBE-GGA.

abc: 4.5099 6.9241 9.6227
angles: 90.00 89.98 89.99
Atoms (fractional coordinates):
1 Ac 0.2010 0.9245 0.7002
2 Ac 0.7014 0.4246 0.5157
3 Sm 0.2011 0.8043 0.2566
4 Sm 0.7004 0.3043 0.9594
5 Se 0.7011 0.5651 0.1987
6 Se 0.7010 0.6394 0.7903
7 Se 0.2016 0.1395 0.4257
8 Se 0.2003 0.0651 0.0172

Output
Formation energy from raw total energies, meV per atom: -1416
Crystal system: orthorhombic
Energy above the lowest structure with this stoichiometry, eV per formula unit: 1.63
Energy, eV per formula unit: -21.5